(1)
Compound: LaBAs2Se
Source: the Alexandria database
Functional: PBE
Structure: optimized geometry

Unit cell a=4.5860 b=4.5860 c=4.7323 alpha=90.00 beta=90.00 gamma=90.00
Space group P4/mmm (No. 123)
One atom of each set of equivalent atoms:
La1 0.0000 0.0000 0.0000 x1
B1 0.5000 0.5000 0.5000 x1
As1 0.0000 0.5000 0.5000 x2
Se1 0.5000 0.5000 0.0000 x1

Computed properties:
* E_form (uncorrected): -137 meV per atom

***

(2)
Compound: La2Ga3GePt4
Source: the Alexandria database
Functional: PBE
Structure: optimized geometry

Unit cell a=4.3945 b=4.3945 c=10.2906 alpha=90.00 beta=90.00 gamma=90.00
Space group P-4m2 (No. 115)
One atom of each set of equivalent atoms:
La1 0.0000 0.5000 0.2452 x2
Ga1 0.0000 0.0000 0.0000 x1
Ga2 0.0000 0.5000 0.6276 x2
Ge1 0.5000 0.5000 0.0000 x1
Pt1 0.0000 0.0000 0.5000 x1
Pt2 0.0000 0.5000 0.8721 x2
Pt3 0.5000 0.5000 0.5000 x1

Computed properties:
* DFT formation energy: -999 meV/atom

***

(3)
Compound: SmYPuSc
Source: the Alexandria database
Functional: PBE
Structure: optimized geometry

Unit cell a=7.7898 b=7.7898 c=7.7898 alpha=90.00 beta=90.00 gamma=90.00
Space group F-43m (No. 216)
One atom of each set of equivalent atoms:
Sm1 0.0000 0.0000 0.0000 x4
Y1 0.2500 0.2500 0.2500 x4
Pu1 0.0000 0.0000 0.5000 x4
Sc1 0.2500 0.2500 0.7500 x4

Computed properties:
* DFT formation energy: 202 meV/atom

***

Total energy list, top to bottom, in eV/atom: -5.015; -5.770; -7.760